P) Material: CaLa2Nd
Method: DFT, PBE-GGA
State: relaxed

It has space group P4/mmm (No. 123), with a = 5.348 Å, b = 5.348 Å, c = 5.199 Å, α = 90.00°, β = 90.00° and γ = 90.00°. The inequivalent atoms are Ca at (0.000, 0.000, 0.000), La at (0.000, 0.500, 0.500) and Nd at (0.500, 0.500, 0.000).

The value obtained for the total magnetization is 0.0 μB per cell.


Q) Material: CaLa2Nd
Method: DFT, PBE-GGA
State: relaxed

It has space group R3m (No. 160, hexagonal axes), with a = 3.7432 Å, b = 3.7432 Å, c = 37.4182 Å, α = 90.00°, β = 90.00° and γ = 120.00°. The inequivalent atoms are Ca at (0.0000, 0.0000, 0.0000), La at (0.0000, 0.0000, 0.5794), La at (0.0000, 0.0000, 0.7538) and Nd at (0.0000, 0.0000, 0.1666).

The value obtained for the total magnetization is 0.0 μB per cell.


R) Material: CaLa2Nd
Method: DFT, PBE-GGA
State: relaxed

It has space group Fm-3m (No. 225), with a = 8.458 Å, b = 8.458 Å, c = 8.458 Å, α = 90.00°, β = 90.00° and γ = 90.00°. The inequivalent atoms are Ca at (0.000, 0.000, 0.000), La at (0.250, 0.250, 0.250) and Nd at (0.000, 0.000, 0.500).

The value obtained for the total magnetization is 0.0 μB per cell.


Tell me which of them is the least stable. Sure, it is R).


P) Material: CaLaNd4
Method: DFT, PBE-GGA
State: relaxed

It has space group F-43m (No. 216), with a = 9.719 Å, b = 9.719 Å, c = 9.719 Å, α = 90.00°, β = 90.00° and γ = 90.00°. The inequivalent atoms are Ca at (0.000, 0.000, 0.000), La at (0.250, 0.250, 0.750) and Nd at (0.124, 0.124, 0.376).

The value obtained for the total magnetization is 0.0 μB per cell.


Q) Material: CaLaNd4
Method: DFT, PBE-GGA
State: relaxed

It has space group Pmmm (No. 47), with a = 3.695 Å, b = 5.290 Å, c = 11.169 Å, α = 90.00°, β = 90.00° and γ = 90.00°. The inequivalent atoms are Ca at (0.000, 0.000, 0.000), La at (0.500, 0.500, 0.500), Nd at (0.000, 0.000, 0.335) and Nd at (0.500, 0.500, 0.176).

The value obtained for the total magnetization is 0.0 μB per cell.


Tell me which of them is the least stable. Sure, it is P).


P) Material: CaLaNd
Method: DFT, PBE-GGA
State: relaxed

It has space group Cmcm (No. 63), with a = 3.686 Å, b = 33.398 Å, c = 3.748 Å, α = 90.00°, β = 90.00° and γ = 90.00°. The inequivalent atoms are Ca at (0.000, 0.050, 0.250), La at (0.000, 0.209, 0.250) and Nd at (0.000, 0.368, 0.250).

The value obtained for the total magnetization is 0.0 μB per cell.


Q) Material: CaLaNd
Method: DFT, PBE-GGA
State: relaxed

It has space group I4mm (No. 107), with a = 3.774 Å, b = 3.774 Å, c = 16.017 Å, α = 90.00°, β = 90.00° and γ = 90.00°. The inequivalent atoms are Ca at (0.000, 0.000, 0.000), La at (0.000, 0.000, 0.322) and Nd at (0.000, 0.000, 0.671).

The value obtained for the total magnetization is 0.0 μB per cell.


R) Material: CaLaNd
Method: DFT, PBE-GGA
State: relaxed

It has space group P-6m2 (No. 187), with a = 6.0284 Å, b = 6.0284 Å, c = 3.6118 Å, α = 90.00°, β = 90.00° and γ = 120.00°. The inequivalent atoms are Ca at (0.0000, 0.0000, 0.0000), La at (0.6667, 0.3333, 0.5000) and Nd at (0.3333, 0.6667, 0.5000).

The value obtained for the total magnetization is 0.1 μB per cell.


S) Material: CaLaNd
Method: DFT, PBE-GGA
State: relaxed

It has space group Pmma (No. 51), with a = 6.889 Å, b = 3.601 Å, c = 9.355 Å, α = 90.00°, β = 90.00° and γ = 90.00°. The inequivalent atoms are Ca at (0.250, 0.000, 0.146), La at (0.250, 0.500, 0.784) and Nd at (0.000, 0.000, 0.500).

The value obtained for the total magnetization is 0.0 μB per cell.


Tell me which of them is the least stable. Sure, it is R).


P) Material: CaLa4Nd2
Method: DFT, PBE-GGA
State: relaxed

It has space group R-3m (No. 166, hexagonal axes), with a = 3.7362 Å, b = 3.7362 Å, c = 64.6351 Å, α = 90.00°, β = 90.00° and γ = 120.00°. The inequivalent atoms are Ca at (0.0000, 0.0000, 0.0000), La at (0.0000, 0.0000, 0.1433), La at (0.0000, 0.0000, 0.2831) and Nd at (0.0000, 0.0000, 0.4292).

The value obtained for the total magnetization is 0.0 μB per cell.


Q) Material: CaLa4Nd2
Method: DFT, PBE-GGA
State: relaxed

It has space group Imma (No. 74), with a = 7.188 Å, b = 12.045 Å, c = 12.155 Å, α = 90.00°, β = 90.00° and γ = 90.00°. The inequivalent atoms are Ca at (0.000, 0.000, 0.000), La at (0.000, 0.002, 0.328), La at (0.216, 0.250, 0.514), Nd at (0.000, 0.250, 0.783) and Nd at (0.250, 0.250, 0.250).

The value obtained for the total magnetization is 0.0 μB per cell.


Tell me which of them is the least stable. Sure, it is Q).